Computed, not measured: Ac2NpCrO6 after structural relaxation at the PBE+U level of DFT.

The density of states at the Fermi level is 1.062 states/eV per atom. The calculation puts the volume at 15.3 Å³ per atom. For the mass density, the calculation gives 9111 kg/m³. As for the total energy: -8.4984 eV per atom.

Geometry as CIF:
```
data_Ac2NpCrO6
_space_group_name_H-M_alt 'I 4/m m m'
_space_group_IT_number 139
_space_group_name_Hall '-I 4 2'
_cell_length_a 5.906
_cell_length_b 5.906
_cell_length_c 8.768
_cell_angle_alpha 90.00
_cell_angle_beta 90.00
_cell_angle_gamma 90.00
loop_
_atom_site_label
_atom_site_fract_x
_atom_site_fract_y
_atom_site_fract_z
Ac1 0.000 0.500 0.250
Np1 0.000 0.000 0.000
Cr1 0.000 0.000 0.500
O1 0.000 0.000 0.245
O2 0.242 0.242 0.500
```